The following is a SCAN calculation of Y4Zr3O12 at its PBEsol-relaxed geometry, from Alexandria via LeMat-Bulk.

Output
formation energy from raw total energies = -74.04 eV per formula unit
distance to the lowest polymorph of the same formula = 0.7 kJ per mole of atoms
magnetic moment = 0.000 μB per atom
space-group type = P1, No. 1
volume = 12.873 A^3/atom

Cell lengths 6.3444, 6.3483, 6.3519 Å; angles 98.78, 99.28, 99.70 degrees
Atoms (fractional coordinates):
Y  0.3924  0.8620  0.6931
Y  0.8606  0.6890  0.3932
Y  0.3026  0.6101  0.1393
Y  0.6943  0.3897  0.8625
O  0.0571  0.9311  0.6855
O  0.9281  0.6878  0.0567
O  0.5745  0.8370  0.4133
O  0.0722  0.3153  0.9239
O  0.9468  0.0923  0.3195
O  0.4179  0.1831  0.5601
O  0.8235  0.3929  0.5616
O  0.5790  0.4188  0.1873
O  0.1788  0.5653  0.4376
O  0.3208  0.9624  0.0912
O  0.6824  0.0556  0.9436
O  0.4076  0.5588  0.8173
Zr  0.0041  0.0028  0.0011
Zr  0.6155  0.1385  0.3031
Zr  0.1417  0.3077  0.6100

The following is a SCAN calculation of ZrZnO2 at its PBEsol-relaxed geometry, from Alexandria via LeMat-Bulk.

Output
formation energy from raw total energies = -6.93 eV per formula unit
magnetic moment = 0.000 μB per atom
space-group type = R-3m, No. 166
volume = 13.529 A^3/atom

Cell lengths 3.1997, 3.1997, 6.3769 Å; angles 75.47, 75.47, 60.00 degrees
Atoms (fractional coordinates):
Zn  0.5000  0.5000  0.5000
Zr  0.0000  0.0000  0.0000
O  0.1083  0.1083  0.6752
O  0.8917  0.8917  0.3248

The following is a SCAN calculation of Zr2ZnO at its PBEsol-relaxed geometry, from Alexandria via LeMat-Bulk.

Output
formation energy from raw total energies = -1.87 eV per formula unit
magnetic moment = 0.000 μB per atom
space-group type = Fm-3m, No. 225
volume = 15.484 A^3/atom

Cell lengths 4.4411, 4.4411, 4.4411 Å; angles 60.00, 60.00, 60.00 degrees
Atoms (fractional coordinates):
Zr  0.2500  0.2500  0.2500
Zr  0.7500  0.7500  0.7500
O  0.0000  0.0000  0.0000
Zn  0.5000  0.5000  0.5000

The following is a SCAN calculation of Zr3O at its PBEsol-relaxed geometry, from Alexandria via LeMat-Bulk.

Output
formation energy from raw total energies = -6.12 eV per formula unit
magnetic moment = 0.000 μB per atom
space-group type = P6_322, No. 182
volume = 17.417 A^3/atom

Cell lengths 5.1585, 5.5848, 5.5848 Å; angles 120.00, 90.00, 90.00 degrees
Atoms (fractional coordinates):
O  0.2500  0.6667  0.3333
O  0.7500  0.3333  0.6667
Zr  0.0000  0.6608  0.0000
Zr  0.0000  0.3392  0.3392
Zr  0.5000  0.0000  0.3392
Zr  0.5000  0.6608  0.6608
Zr  0.0000  0.0000  0.6608
Zr  0.5000  0.3392  0.0000

The following is a SCAN calculation of ZrO2 at its PBEsol-relaxed geometry, from Alexandria via LeMat-Bulk.

Output
formation energy from raw total energies = -11.38 eV per formula unit
magnetic moment = 0.000 μB per atom
space-group type = P2_1/c, No. 14
volume = 11.644 A^3/atom

Cell lengths 5.1325, 5.2143, 5.2951 Å; angles 90.00, 99.59, 90.00 degrees
Atoms (fractional coordinates):
O  0.0704  0.1627  0.8405
O  0.5514  0.2578  0.0199
O  0.9296  0.6627  0.6595
O  0.9296  0.8373  0.1595
O  0.4486  0.7422  0.9801
O  0.5514  0.2422  0.5199
O  0.4486  0.7578  0.4801
O  0.0704  0.3373  0.3405
Zr  0.7227  0.5429  0.2907
Zr  0.2773  0.4571  0.7093
Zr  0.2773  0.0429  0.2093
Zr  0.7227  0.9571  0.7907

The following is a SCAN calculation of Zr3O at its PBEsol-relaxed geometry, from Alexandria via LeMat-Bulk.

Output
formation energy from raw total energies = -6.15 eV per formula unit
magnetic moment = 0.000 μB per atom
space-group type = R-3c, No. 167
volume = 17.448 A^3/atom

Cell lengths 5.5943, 5.5943, 6.0791 Å; angles 62.60, 62.60, 60.00 degrees
Atoms (fractional coordinates):
Zr  0.2500  0.5909  0.2500
Zr  0.9091  0.2500  0.2500
Zr  0.0909  0.7500  0.7500
Zr  0.5909  0.9091  0.2500
Zr  0.7500  0.4091  0.7500
Zr  0.4091  0.0909  0.7500
O  0.0000  0.0000  0.0000
O  0.5000  0.5000  0.5000

The following is a SCAN calculation of ZrO2 at its PBEsol-relaxed geometry, from Alexandria via LeMat-Bulk.

Output
formation energy from raw total energies = -11.22 eV per formula unit
magnetic moment = 0.000 μB per atom
space-group type = Fm-3m, No. 225
volume = 10.838 A^3/atom

Cell lengths 3.5826, 3.5826, 3.5826 Å; angles 60.00, 60.00, 60.00 degrees
Atoms (fractional coordinates):
O  0.2500  0.2500  0.2500
O  0.7500  0.7500  0.7500
Zr  0.0000  0.0000  0.0000

The following is a SCAN calculation of ZrO2 at its PBEsol-relaxed geometry, from Alexandria via LeMat-Bulk.

Output
formation energy from raw total energies = -11.29 eV per formula unit
magnetic moment = 0.000 μB per atom
space-group type = Pnma, No. 62
volume = 11.788 A^3/atom

Cell lengths 3.4279, 5.3970, 7.6461 Å; angles 90.00, 90.00, 90.00 degrees
Atoms (fractional coordinates):
Zr  0.7500  0.6437  0.6697
Zr  0.7500  0.8563  0.1697
Zr  0.2500  0.3563  0.3303
Zr  0.2500  0.1437  0.8303
O  0.7500  0.1303  0.3574
O  0.7500  0.3697  0.8574
O  0.7500  0.8914  0.8899
O  0.2500  0.6303  0.1426
O  0.2500  0.3914  0.6101
O  0.2500  0.1086  0.1101
O  0.2500  0.8697  0.6426
O  0.7500  0.6086  0.3899

The following is a SCAN calculation of ZrO2 at its PBEsol-relaxed geometry, from Alexandria via LeMat-Bulk.

Output
formation energy from raw total energies = -11.33 eV per formula unit
magnetic moment = 0.000 μB per atom
space-group type = Pca2_1, No. 29
volume = 11.232 A^3/atom

Cell lengths 5.0551, 5.2566, 5.0724 Å; angles 90.00, 90.00, 90.00 degrees
Atoms (fractional coordinates):
O  0.5384  0.7675  0.4999
O  0.0701  0.8669  0.8914
O  0.5384  0.7325  0.9999
O  0.9299  0.3669  0.8914
O  0.0701  0.6331  0.3914
O  0.4616  0.2325  0.9999
O  0.9299  0.1331  0.3914
O  0.4616  0.2675  0.4999
Zr  0.2673  0.9687  0.2527
Zr  0.7327  0.4687  0.2527
Zr  0.2673  0.5313  0.7527
Zr  0.7327  0.0313  0.7527

The following is a SCAN calculation of ZrO2 at its PBEsol-relaxed geometry, from Alexandria via LeMat-Bulk.

Output
formation energy from raw total energies = -11.09 eV per formula unit
magnetic moment = 0.000 μB per atom
space-group type = C2/m, No. 12
volume = 14.712 A^3/atom

Cell lengths 3.9752, 6.9039, 7.0293 Å; angles 106.40, 90.00, 106.73 degrees
Atoms (fractional coordinates):
O  0.7398  0.4797  0.3547
O  0.1294  0.2588  0.0039
O  0.0589  0.1177  0.3781
O  0.8706  0.7412  0.9961
O  0.3557  0.7113  0.2903
O  0.9411  0.8823  0.6219
O  0.6443  0.2887  0.7097
O  0.2602  0.5203  0.6453
Zr  0.8072  0.6144  0.7119
Zr  0.1928  0.3856  0.2881
Zr  0.1013  0.2025  0.7106
Zr  0.8987  0.7975  0.2894

The following is a SCAN calculation of ZrO2 at its PBEsol-relaxed geometry, from Alexandria via LeMat-Bulk.

Output
formation energy from raw total energies = -11.34 eV per formula unit
magnetic moment = 0.000 μB per atom
space-group type = Pbca, No. 61
volume = 11.158 A^3/atom

Cell lengths 5.0738, 5.2484, 10.0565 Å; angles 90.00, 90.00, 90.00 degrees
Atoms (fractional coordinates):
O  0.5024  0.7389  0.5225
O  0.9976  0.2389  0.4775
O  0.6276  0.8749  0.2900
O  0.8724  0.3749  0.7100
O  0.8724  0.8749  0.7900
O  0.0024  0.2611  0.9775
O  0.5024  0.2389  0.9775
O  0.4976  0.2611  0.4775
O  0.1276  0.6251  0.2900
O  0.3724  0.1251  0.7100
O  0.1276  0.1251  0.2100
O  0.0024  0.7611  0.5225
O  0.9976  0.7389  0.0225
O  0.4976  0.7611  0.0225
O  0.6276  0.3749  0.2100
O  0.3724  0.6251  0.7900
Zr  0.7526  0.0348  0.1152
Zr  0.7474  0.0348  0.6152
Zr  0.2526  0.4652  0.1152
Zr  0.2526  0.9652  0.3848
Zr  0.2474  0.4652  0.6152
Zr  0.7474  0.5348  0.8848
Zr  0.2474  0.9652  0.8848
Zr  0.7526  0.5348  0.3848

The following is a SCAN calculation of Zr2O at its PBEsol-relaxed geometry, from Alexandria via LeMat-Bulk.

Output
formation energy from raw total energies = -5.94 eV per formula unit
magnetic moment = 0.000 μB per atom
space-group type = P312, No. 149
volume = 15.611 A^3/atom

Cell lengths 5.5988, 5.5988, 10.3508 Å; angles 90.00, 90.00, 120.00 degrees
Atoms (fractional coordinates):
O  0.0000  0.0000  0.0000
O  0.6667  0.3333  0.0000
O  0.0000  0.0000  0.2578
O  0.3333  0.6667  0.5000
O  0.6667  0.3333  0.5000
O  0.0000  0.0000  0.7422
Zr  0.3332  0.3336  0.6254
Zr  0.3324  0.3236  0.1284
Zr  0.9912  0.6676  0.1284
Zr  0.3324  0.0088  0.8716
Zr  0.6764  0.0088  0.1284
Zr  0.0003  0.6668  0.6254
Zr  0.6664  0.9997  0.6254
Zr  0.9912  0.3236  0.8716
Zr  0.3332  0.9997  0.3746
Zr  0.6764  0.6676  0.8716
Zr  0.6664  0.6668  0.3746
Zr  0.0003  0.3336  0.3746

The following is a SCAN calculation of ZrO2 at its PBEsol-relaxed geometry, from Alexandria via LeMat-Bulk.

Output
formation energy from raw total energies = -11.24 eV per formula unit
magnetic moment = 0.000 μB per atom
space-group type = P4/n, No. 85
volume = 10.776 A^3/atom

Cell lengths 5.0082, 8.0341, 8.0341 Å; angles 90.00, 90.00, 90.00 degrees
Atoms (fractional coordinates):
O  0.0000  0.0000  0.0000
O  0.3865  0.6080  0.2050
O  0.6135  0.1080  0.7050
O  0.9219  0.5891  0.7931
O  0.0781  0.2069  0.5891
O  0.3865  0.3920  0.7950
O  0.3865  0.7050  0.8920
O  0.0781  0.7931  0.4109
O  0.6135  0.7950  0.6080
O  0.5000  0.5000  0.5000
O  0.9219  0.7069  0.0891
O  0.3865  0.2950  0.1080
O  0.5000  0.0000  0.0000
O  0.6135  0.2050  0.3920
O  0.9219  0.2931  0.9109
O  0.9219  0.4109  0.2069
O  0.0781  0.0891  0.2931
O  0.0000  0.5000  0.5000
O  0.0781  0.9109  0.7069
O  0.6135  0.8920  0.2950
Zr  0.7537  0.8265  0.8664
Zr  0.2463  0.3265  0.3664
Zr  0.7537  0.6336  0.3265
Zr  0.7537  0.1735  0.1336
Zr  0.1771  0.5000  0.0000
Zr  0.2463  0.8664  0.1735
Zr  0.2463  0.6735  0.6336
Zr  0.8229  0.0000  0.5000
Zr  0.2463  0.1336  0.8265
Zr  0.7537  0.3664  0.6735

The following is a SCAN calculation of ZrO2 at its PBEsol-relaxed geometry, from Alexandria via LeMat-Bulk.

Output
formation energy from raw total energies = -11.30 eV per formula unit
magnetic moment = 0.000 μB per atom
space-group type = P4_2/nmc, No. 137
volume = 11.097 A^3/atom

Cell lengths 3.5888, 3.5888, 5.1696 Å; angles 90.00, 90.00, 90.00 degrees
Atoms (fractional coordinates):
O  0.5000  0.0000  0.2981
O  0.5000  0.0000  0.7981
O  0.0000  0.5000  0.2019
O  0.0000  0.5000  0.7019
Zr  0.5000  0.5000  0.5000
Zr  0.0000  0.0000  0.0000

The following is a SCAN calculation of ZrO2 at its PBEsol-relaxed geometry, from Alexandria via LeMat-Bulk.

Output
formation energy from raw total energies = -11.19 eV per formula unit
magnetic moment = 0.000 μB per atom
space-group type = P4_2/mnm, No. 136
volume = 12.732 A^3/atom

Cell lengths 3.2425, 4.8538, 4.8538 Å; angles 90.00, 90.00, 90.00 degrees
Atoms (fractional coordinates):
O  0.0000  0.6944  0.3056
O  0.0000  0.3056  0.6944
O  0.5000  0.8056  0.8056
O  0.5000  0.1944  0.1944
Zr  0.0000  0.0000  0.0000
Zr  0.5000  0.5000  0.5000

The following is a SCAN calculation of Zr6O11 at its PBEsol-relaxed geometry, from Alexandria via LeMat-Bulk.

Output
formation energy from raw total energies = -61.37 eV per formula unit
magnetic moment = 0.000 μB per atom
space-group type = Pmm2, No. 25
volume = 11.657 A^3/atom

Cell lengths 3.5745, 3.5871, 15.4551 Å; angles 90.00, 90.00, 90.00 degrees
Atoms (fractional coordinates):
O  0.5000  0.5000  0.5101
O  0.5000  0.5000  0.3428
O  0.0000  0.0000  0.8139
O  0.5000  0.5000  0.0079
O  0.0000  0.0000  0.4778
O  0.0000  0.0000  0.6460
O  0.0000  0.0000  0.3094
O  0.5000  0.5000  0.1758
O  0.0000  0.0000  0.1396
O  0.5000  0.5000  0.8440
O  0.5000  0.5000  0.6770
Zr  0.0000  0.5000  0.4109
Zr  0.0000  0.5000  0.7460
Zr  0.5000  0.0000  0.2429
Zr  0.5000  0.0000  0.9114
Zr  0.5000  0.0000  0.5784
Zr  0.0000  0.5000  0.0764

The following is a SCAN calculation of Zr3O at its PBEsol-relaxed geometry, from Alexandria via LeMat-Bulk.

Output
formation energy from raw total energies = -6.14 eV per formula unit
magnetic moment = 0.000 μB per atom
space-group type = R32, No. 155
volume = 17.435 A^3/atom

Cell lengths 5.5898, 5.5898, 10.8027 Å; angles 75.01, 75.01, 60.00 degrees
Atoms (fractional coordinates):
O  0.7085  0.7085  0.8746
O  0.8748  0.8748  0.3755
O  0.1252  0.1252  0.6245
O  0.2915  0.2915  0.1254
Zr  0.7575  0.0765  0.7508
Zr  0.5000  0.1605  0.5000
Zr  0.9235  0.2425  0.2492
Zr  0.3415  0.0000  0.0000
Zr  0.1605  0.8395  0.5000
Zr  0.2425  0.5849  0.2492
Zr  0.8395  0.5000  0.5000
Zr  0.0765  0.4151  0.7508
Zr  0.6585  0.3415  0.0000
Zr  0.4151  0.7575  0.7508
Zr  0.5849  0.9235  0.2492
Zr  0.0000  0.6585  0.0000

The following is a SCAN calculation of ZrO2 at its PBEsol-relaxed geometry, from Alexandria via LeMat-Bulk.

Output
formation energy from raw total energies = -11.22 eV per formula unit
magnetic moment = 0.000 μB per atom
space-group type = I4_1/amd, No. 141
volume = 14.220 A^3/atom

Cell lengths 4.0023, 4.0023, 6.0315 Å; angles 109.38, 109.38, 90.00 degrees
Atoms (fractional coordinates):
O  0.0485  0.5485  0.0970
O  0.4515  0.9515  0.9030
O  0.2015  0.2015  0.4030
O  0.7985  0.7985  0.5970
Zr  0.0000  0.0000  0.0000
Zr  0.2500  0.7500  0.5000

The following is a SCAN calculation of POs3 at its PBEsol-relaxed geometry, from Alexandria via LeMat-Bulk.

Output
distance to the lowest polymorph of the same formula = 0.0 kJ per mole of atoms
magnetic moment = 0.000 μB per atom
space-group type = Imm2, No. 44
energy of formation = 15.58 kJ/mol of atoms
volume = 13.394 A^3/atom

Cell lengths 2.8346, 4.3376, 5.0696 Å; angles 115.33, 106.23, 90.00 degrees
Atoms (fractional coordinates):
Os  0.2858  0.2170  0.5716
Os  0.5000  0.9236  0.0000
Os  0.7142  0.6454  0.4284
P  0.0000  0.3807  0.0000

The following is a SCAN calculation of P3Os at its PBEsol-relaxed geometry, from Alexandria via LeMat-Bulk.

Output
magnetic moment = 0.000 μB per atom
space-group type = P-6m2, No. 187
energy of formation = 49.56 kJ/mol of atoms
volume = 14.688 A^3/atom

Cell lengths 2.8646, 2.8646, 8.2671 Å; angles 90.00, 90.00, 120.00 degrees
Atoms (fractional coordinates):
Os  0.0000  0.0000  0.0000
P  0.0000  0.0000  0.5000
P  0.3333  0.6667  0.7844
P  0.3333  0.6667  0.2156